Entry 1:
Below is a relaxed Zr2NiHIr crystal, with properties calculated at the GGA-PBE level.

Properties
The calculation puts the total magnetic moment at 0.0 μB per cell. For the energy above the most stable polymorph in this dataset, the calculation gives 0 meV per atom. The value obtained for the density of states at the Fermi level is 2.88 states/eV/cell.

Cell lengths 4.5053, 4.5053, 3.5145 Å; angles 90.00, 90.00, 90.00 degrees
Last column: nearest neighbours and their distance in Å.
Positions (direct):
1 Zr 0.0000 0.5000 0.0000  2 H 2.25
2 Zr 0.5000 0.0000 0.0000  2 H 2.25
3 Ni 0.0000 0.0000 0.5000  2 H 1.76
4 H 0.0000 0.0000 0.0000  2 Ni 1.76
5 Ir 0.5000 0.5000 0.5000  8 Zr 2.86, 4 Ni 3.19



Entry 2:
Below is a relaxed ZrNiHIr2 crystal, with properties calculated at the GGA-PBE level.

Properties
The calculation puts the total magnetic moment at 0.0 μB per cell. The value obtained for the density of states at the Fermi level is 4.27 states/eV/cell. For the total energy, the calculation gives -37.8 eV for the cell shown.

Cell lengths 4.0221, 4.0221, 3.8801 Å; angles 90.00, 90.00, 90.00 degrees
Last column: nearest neighbours and their distance in Å.
Positions (direct):
1 Zr 0.0000 0.0000 0.0000  8 Ir 2.79, 4 Ni 2.84
2 Ni 0.5000 0.5000 0.0000  2 H 1.94
3 H 0.5000 0.5000 0.5000  2 Ni 1.94, 4 Ir 2.01
4 Ir 0.0000 0.5000 0.5000  2 H 2.01
5 Ir 0.5000 0.0000 0.5000  2 H 2.01



Entry 3:
Below is a relaxed Zr2NiHIr crystal, with properties calculated at the GGA-PBE level.

Properties
The calculation puts the total magnetic moment at 0.0 μB per cell. For the energy above the most stable polymorph in this dataset, the calculation gives 129 meV per atom. The value obtained for the density of states at the Fermi level is 5.47 states/eV/cell.

Cell lengths 4.4334, 4.4334, 3.7059 Å; angles 90.00, 90.00, 90.00 degrees
Last column: nearest neighbours and their distance in Å.
Positions (direct):
1 Zr 0.0000 0.5000 0.0000  2 H 2.22
2 Zr 0.5000 0.0000 0.0000  2 H 2.22
3 Ni 0.0000 0.0000 0.5000  8 Zr 2.89, 4 Ir 3.13
4 H 0.5000 0.5000 0.0000  2 Ir 1.85
5 Ir 0.5000 0.5000 0.5000  2 H 1.85



Entry 4:
Below is a relaxed NpH5Ir crystal, with properties calculated at the GGA-PBE level.

Properties
The calculation puts the total magnetic moment at 4.0 μB per cell. The value obtained for the density of states at the Fermi level is 7.51 states/eV/cell. For the total energy, the calculation gives -40.0 eV for the cell shown.

Cell lengths 4.5296, 4.5296, 4.5296 Å; angles 128.64, 117.15, 85.37 degrees
Last column: nearest neighbours and their distance in Å.
Positions (direct):
1 Np 0.0000 0.0000 0.0000  14 H 2.36-2.53
2 H 0.0645 0.3282 0.7362  1 Ir 1.69
3 H 0.4080 0.6718 0.7362  1 Ir 1.69
4 H 0.5000 0.0000 0.5000  2 Ir 1.96
5 H 0.5920 0.3282 0.2638  1 Ir 1.69
6 H 0.9355 0.6718 0.2638  1 Ir 1.69
7 Ir 0.5000 0.5000 0.0000  4 H 1.69



Entry 5:
Below is a relaxed NpH8Ir2 crystal, with properties calculated at the GGA-PBE level.

Properties
The calculation puts the total magnetic moment at 4.5 μB per cell. The value obtained for the density of states at the Fermi level is 14.09 states/eV/cell. For the total energy, the calculation gives -56.5 eV for the cell shown.

Cell lengths 5.8299, 5.8299, 5.8299 Å; angles 135.32, 135.32, 65.04 degrees
Last column: nearest neighbours and their distance in Å.
Positions (direct):
1 Np 0.0000 0.0000 0.0000  8 H 2.30
2 H 0.1194 0.1194 0.5495  2 Ir 1.83, 3 H 1.89-2.00
3 H 0.1194 0.5699 0.0000  2 Ir 1.83, 3 H 1.89-2.00
4 H 0.4301 0.4301 0.5495  2 Ir 1.83, 3 H 1.89-2.00
5 H 0.4301 0.8806 0.0000  2 Ir 1.83, 3 H 1.89-2.00
6 H 0.5699 0.1194 0.0000  2 Ir 1.83, 3 H 1.89-2.00
7 H 0.5699 0.5699 0.4505  2 Ir 1.83, 3 H 1.89-2.00
8 H 0.8806 0.4301 0.0000  2 Ir 1.83, 3 H 1.89-2.00
9 H 0.8806 0.8806 0.4505  2 Ir 1.83, 3 H 1.89-2.00
10 Ir 0.2500 0.7500 0.5000  8 H 1.83
11 Ir 0.7500 0.2500 0.5000  8 H 1.83



Entry 6:
Below is a relaxed NpH6Ir crystal, with properties calculated at the GGA-PBE level.

Properties
The calculation puts the total magnetic moment at 4.0 μB per cell. The value obtained for the density of states at the Fermi level is 8.18 states/eV/cell. For the total energy, the calculation gives -43.7 eV for the cell shown.

Cell lengths 4.6805, 4.6805, 4.6805 Å; angles 57.13, 57.13, 57.13 degrees
Last column: nearest neighbours and their distance in Å.
Positions (direct):
1 Np 0.0000 0.0000 0.0000  12 H 2.46
2 H 0.0608 0.6006 0.6006  1 Ir 1.68
3 H 0.3994 0.3994 0.9392  1 Ir 1.68
4 H 0.3994 0.9392 0.3994  1 Ir 1.68
5 H 0.6006 0.0608 0.6006  1 Ir 1.68
6 H 0.6006 0.6006 0.0608  1 Ir 1.68
7 H 0.9392 0.3994 0.3994  1 Ir 1.68
8 Ir 0.5000 0.5000 0.5000  6 H 1.68



Entry 7:
Below is a relaxed NpH4Ir crystal, with properties calculated at the GGA-PBE level.

Properties
The calculation puts the total magnetic moment at 8.2 μB per cell. The value obtained for the density of states at the Fermi level is 19.21 states/eV/cell. For the total energy, the calculation gives -72.3 eV for the cell shown.

Cell lengths 6.3111, 6.3111, 4.8920 Å; angles 90.00, 90.00, 144.61 degrees
Last column: nearest neighbours and their distance in Å.
Positions (direct):
1 Np 0.1256 0.8744 0.7500  8 H 2.40-2.48
2 Np 0.8744 0.1256 0.2500  8 H 2.40-2.48
3 H 0.1028 0.8972 0.2500  2 Ir 1.92
4 H 0.2994 0.7006 0.0218  1 Ir 1.72
5 H 0.2994 0.7006 0.4782  1 Ir 1.72
6 H 0.5000 0.5000 0.0000  2 Ir 1.81
7 H 0.5000 0.5000 0.5000  2 Ir 1.81
8 H 0.7006 0.2994 0.5218  1 Ir 1.72
9 H 0.7006 0.2994 0.9782  1 Ir 1.72
10 H 0.8972 0.1028 0.7500  2 Ir 1.92
11 Ir 0.3896 0.6104 0.7500  6 H 1.72-1.92
12 Ir 0.6104 0.3896 0.2500  6 H 1.72-1.92



Entry 8:
Below is a relaxed NpHIr3 crystal, with properties calculated at the GGA-PBE level.

Properties
The calculation puts the total magnetic moment at 2.1 μB per cell. The value obtained for the density of states at the Fermi level is 13.72 states/eV/cell. For the total energy, the calculation gives -43.7 eV for the cell shown.

Cell lengths 4.1063, 4.1063, 4.1063 Å; angles 90.00, 90.00, 90.00 degrees
Last column: nearest neighbours and their distance in Å.
Positions (direct):
1 Np 0.0000 0.0000 0.0000  12 Ir 2.90
2 H 0.5000 0.5000 0.5000  6 Ir 2.05
3 Ir 0.0000 0.5000 0.5000  2 H 2.05
4 Ir 0.5000 0.0000 0.5000  2 H 2.05
5 Ir 0.5000 0.5000 0.0000  2 H 2.05



Entry 9:
Below is a relaxed NpH2Ir crystal, with properties calculated at the GGA-PBE level.

Properties
The calculation puts the total magnetic moment at 3.6 μB per cell. The value obtained for the density of states at the Fermi level is 2.03 states/eV/cell. For the total energy, the calculation gives -28.1 eV for the cell shown.

Cell lengths 6.3323, 6.3323, 6.3323 Å; angles 26.63, 26.63, 26.63 degrees
Last column: nearest neighbours and their distance in Å.
Positions (direct):
1 Np 0.0000 0.0000 0.0000  6 H 2.18
2 H 0.4093 0.4093 0.4093  1 Ir 1.66
3 H 0.5907 0.5907 0.5907  1 Ir 1.66
4 Ir 0.5000 0.5000 0.5000  2 H 1.66



Entry 10:
Below is a relaxed NpH8Ir2Pt crystal, with properties calculated at the GGA-PBE level.

Properties
The calculation puts the total magnetic moment at 2.8 μB per cell. The value obtained for the density of states at the Fermi level is 8.37 states/eV/cell. For the total energy, the calculation gives -63.4 eV for the cell shown.

Cell lengths 4.7991, 4.7991, 6.0548 Å; angles 90.00, 90.00, 120.00 degrees
Last column: nearest neighbours and their distance in Å.
Positions (direct):
1 Np 0.0000 0.0000 0.0000  6 H 2.44
2 H 0.1732 0.3464 0.3255  1 Pt 1.79, 1 Ir 1.82
3 H 0.1732 0.8268 0.3255  1 Pt 1.79, 1 Ir 1.82
4 H 0.3333 0.6667 0.8526  1 Ir 1.63
5 H 0.3464 0.1732 0.6745  1 Pt 1.79, 1 Ir 1.82
6 H 0.6536 0.8268 0.3255  1 Pt 1.79, 1 Ir 1.82
7 H 0.6667 0.3333 0.1474  1 Ir 1.63
8 H 0.8268 0.1732 0.6745  1 Pt 1.79, 1 Ir 1.82
9 H 0.8268 0.6536 0.6745  1 Pt 1.79, 1 Ir 1.82
10 Ir 0.3333 0.6667 0.1215  4 H 1.63-1.82
11 Ir 0.6667 0.3333 0.8785  4 H 1.63-1.82
12 Pt 0.0000 0.0000 0.5000  6 H 1.79



Entry 11:
Below is a relaxed NpSiHIr2 crystal, with properties calculated at the GGA-PBE level.

Properties
The calculation puts the total magnetic moment at 6.8 μB per cell. The value obtained for the density of states at the Fermi level is 18.35 states/eV/cell. For the total energy, the calculation gives -83.3 eV for the cell shown.

Cell lengths 5.7801, 5.7801, 6.9288 Å; angles 90.00, 90.00, 140.88 degrees
Last column: nearest neighbours and their distance in Å.
Positions (direct):
1 Np 0.0635 0.9365 0.7500  4 H 2.69
2 Np 0.9365 0.0635 0.2500  4 H 2.69
3 Si 0.2165 0.7835 0.2500  6 Ir 2.46-2.47
4 Si 0.7835 0.2165 0.7500  6 Ir 2.46-2.47
5 H 0.5000 0.5000 0.0000  2 Ir 1.78
6 H 0.5000 0.5000 0.5000  2 Ir 1.78
7 Ir 0.3399 0.6601 0.5486  1 H 1.78
8 Ir 0.3399 0.6601 0.9514  1 H 1.78
9 Ir 0.6601 0.3399 0.0486  1 H 1.78
10 Ir 0.6601 0.3399 0.4514  1 H 1.78



Entry 12:
Below is a relaxed NpZn2H8Ir crystal, with properties calculated at the GGA-PBE level.

Properties
The calculation puts the total magnetic moment at 4.6 μB per cell. The value obtained for the density of states at the Fermi level is 10.31 states/eV/cell. For the total energy, the calculation gives -51.0 eV for the cell shown.

Cell lengths 4.3339, 4.4043, 5.5334 Å; angles 81.58, 89.96, 89.96 degrees
Last column: nearest neighbours and their distance in Å.
Positions (direct):
1 Np 0.0000 0.0000 0.0000  12 H 2.38-2.46
2 Zn 0.5001 0.3865 0.2587  1 H 1.76
3 Zn 0.4999 0.6135 0.7413  1 H 1.76
4 H 0.0015 0.5432 0.8123  1 Ir 1.77
5 H 0.2337 0.1984 0.6071  1 Ir 1.71
6 H 0.2347 0.8000 0.3913  1 Ir 1.71
7 H 0.4998 0.2231 0.9867  1 Zn 1.76, 1 H 1.95
8 H 0.5002 0.7769 0.0133  1 Zn 1.76, 1 H 1.95
9 H 0.7653 0.2000 0.6087  1 Ir 1.71
10 H 0.7663 0.8016 0.3929  1 Ir 1.71
11 H 0.9985 0.4568 0.1877  1 Ir 1.77
12 Ir 0.0000 0.5000 0.5000  6 H 1.71-1.77



- What is the total magnetic moment in the eleventh record?
  6.8 μB per cell



- Look up the density of states at the Fermi level of the eighth one.
  13.72 states/eV/cell